Density functional theory data (GGA-PBE) for a geometry-optimized NaTlPb structure.

Unit cell a=5.301 b=5.301 c=7.715 alpha=90.00 beta=90.00 gamma=120.00
Sites, in units of the cell vectors:
Na 0.000 0.000 0.000
Na 0.000 0.000 0.500
Tl 0.667 0.333 0.204
Tl 0.667 0.333 0.796
Pb 0.333 0.667 0.293
Pb 0.333 0.667 0.707

ΔH_f (0 K) (meV/atom): -51
Total DFT energy (no corrections) (eV per atom): -2.516
SG: P-6m2
Size of the total moment (μB per formula unit): 0.000

Density functional theory data (GGA-PBE) for a geometry-optimized NaTl3Pb3 structure.

Unit cell a=8.532 b=8.532 c=8.532 alpha=90.00 beta=90.00 gamma=90.00
Sites, in units of the cell vectors:
Na 0.000 0.000 0.000
Na 0.500 0.500 0.500
Tl 0.000 0.250 0.500
Tl 0.000 0.750 0.500
Tl 0.250 0.500 0.000
Tl 0.500 0.000 0.250
Tl 0.500 0.000 0.750
Tl 0.750 0.500 0.000
Pb 0.000 0.500 0.250
Pb 0.000 0.500 0.750
Pb 0.250 0.000 0.500
Pb 0.500 0.250 0.000
Pb 0.500 0.750 0.000
Pb 0.750 0.000 0.500

ΔH_f (0 K) (meV/atom): 316
Total DFT energy (no corrections) (eV per atom): -2.476
SG: Pm-3n
E above lowest polymorph (eV/atom): 0.374
Size of the total moment (μB per formula unit): 0.000

Density functional theory data (GGA-PBE) for a geometry-optimized Na2TlPb9 structure.

Unit cell a=4.973 b=4.973 c=14.755 alpha=90.00 beta=90.00 gamma=90.00
Sites, in units of the cell vectors:
Na 0.000 0.000 0.165
Na 0.000 0.000 0.835
Tl 0.000 0.000 0.500
Pb 0.000 0.500 0.000
Pb 0.000 0.500 0.330
Pb 0.000 0.500 0.670
Pb 0.500 0.000 0.000
Pb 0.500 0.000 0.330
Pb 0.500 0.000 0.670
Pb 0.500 0.500 0.165
Pb 0.500 0.500 0.500
Pb 0.500 0.500 0.835

ΔH_f (0 K) (meV/atom): -71
Total DFT energy (no corrections) (eV per atom): -3.269
SG: P4/mmm
Size of the total moment (μB per formula unit): 0.000

Density functional theory data (GGA-PBE) for a geometry-optimized NaTl8Pb2 structure.

Unit cell a=8.310 b=8.310 c=5.685 alpha=100.72 beta=100.72 gamma=79.00
Sites, in units of the cell vectors:
Na 0.000 0.000 0.000
Tl 0.182 0.658 0.200
Tl 0.262 0.262 0.112
Tl 0.342 0.818 0.800
Tl 0.408 0.408 0.689
Tl 0.592 0.592 0.311
Tl 0.658 0.182 0.200
Tl 0.738 0.738 0.888
Tl 0.818 0.342 0.800
Pb 0.133 0.133 0.546
Pb 0.867 0.867 0.454

ΔH_f (0 K) (meV/atom): 88
Total DFT energy (no corrections) (eV per atom): -2.428
SG: C2/m
E above lowest polymorph (eV/atom): 0.116
Size of the total moment (μB per formula unit): 0.000

Density functional theory data (GGA-PBE) for a geometry-optimized Na7Tl16Pb6 structure.

Unit cell a=10.665 b=10.665 c=10.665 alpha=60.00 beta=60.00 gamma=60.00
Sites, in units of the cell vectors:
Na 0.000 0.000 0.000
Na 0.000 0.000 0.500
Na 0.000 0.500 0.000
Na 0.000 0.500 0.500
Na 0.500 0.000 0.000
Na 0.500 0.000 0.500
Na 0.500 0.500 0.000
Tl 0.015 0.662 0.662
Tl 0.120 0.120 0.120
Tl 0.120 0.120 0.641
Tl 0.120 0.641 0.120
Tl 0.338 0.338 0.338
Tl 0.338 0.338 0.985
Tl 0.338 0.985 0.338
Tl 0.359 0.880 0.880
Tl 0.641 0.120 0.120
Tl 0.662 0.015 0.662
Tl 0.662 0.662 0.015
Tl 0.662 0.662 0.662
Tl 0.880 0.359 0.880
Tl 0.880 0.880 0.359
Tl 0.880 0.880 0.880
Tl 0.985 0.338 0.338
Pb 0.321 0.321 0.679
Pb 0.321 0.679 0.321
Pb 0.321 0.679 0.679
Pb 0.679 0.321 0.321
Pb 0.679 0.321 0.679
Pb 0.679 0.679 0.321

ΔH_f (0 K) (meV/atom): -20
Total DFT energy (no corrections) (eV per atom): -2.411
SG: Fm-3m
Size of the total moment (μB per formula unit): 0.000

Density functional theory data (GGA-PBE) for a geometry-optimized NaTlPb structure.

Unit cell a=4.789 b=6.073 c=6.990 alpha=108.28 beta=90.19 gamma=112.81
Sites, in units of the cell vectors:
Na 0.000 0.000 0.000
Na 0.327 0.652 0.648
Tl 0.330 0.660 0.152
Tl 0.664 0.331 0.324
Pb 0.004 0.002 0.499
Pb 0.657 0.312 0.810

ΔH_f (0 K) (meV/atom): -111
Total DFT energy (no corrections) (eV per atom): -2.576
SG: P1
Size of the total moment (μB per formula unit): 0.000

Density functional theory data (GGA-PBE) for a geometry-optimized Na3Tl4Pb2 structure.

Unit cell a=9.723 b=9.723 c=5.948 alpha=98.54 beta=98.54 gamma=73.62
Sites, in units of the cell vectors:
Na 0.125 0.875 0.750
Na 0.212 0.460 0.918
Na 0.460 0.212 0.418
Na 0.540 0.788 0.582
Na 0.788 0.540 0.082
Na 0.875 0.125 0.250
Tl 0.011 0.761 0.194
Tl 0.239 0.989 0.306
Tl 0.319 0.571 0.473
Tl 0.429 0.681 0.027
Tl 0.571 0.319 0.973
Tl 0.681 0.429 0.527
Tl 0.761 0.011 0.694
Tl 0.989 0.239 0.806
Pb 0.098 0.354 0.363
Pb 0.354 0.098 0.863
Pb 0.646 0.902 0.137
Pb 0.902 0.646 0.637

ΔH_f (0 K) (meV/atom): -90
Total DFT energy (no corrections) (eV per atom): -2.405
SG: C2/c
E above lowest polymorph (eV/atom): 0.017
Size of the total moment (μB per formula unit): 0.000

Density functional theory data (GGA-PBE) for a geometry-optimized NaTlPb structure.

Unit cell a=11.449 b=5.677 c=6.633 alpha=90.00 beta=124.46 gamma=90.00
Sites, in units of the cell vectors:
Na 0.163 0.000 0.491
Na 0.337 0.500 0.509
Na 0.663 0.500 0.491
Na 0.837 0.000 0.509
Tl 0.168 0.098 0.992
Tl 0.332 0.598 0.008
Tl 0.668 0.598 0.992
Tl 0.832 0.098 0.008
Pb 0.000 0.501 0.500
Pb 0.000 0.593 0.000
Pb 0.500 0.001 0.500
Pb 0.500 0.093 0.000

ΔH_f (0 K) (meV/atom): -99
Total DFT energy (no corrections) (eV per atom): -2.564
SG: C2
Size of the total moment (μB per formula unit): 0.000

Density functional theory data (GGA-PBE) for a geometry-optimized NaTl2Pb6 structure.

Unit cell a=6.164 b=6.164 c=8.414 alpha=103.97 beta=103.97 gamma=71.55
Sites, in units of the cell vectors:
Na 0.000 0.000 0.000
Tl 0.327 0.327 0.916
Tl 0.673 0.673 0.084
Pb 0.221 0.681 0.295
Pb 0.241 0.241 0.483
Pb 0.319 0.779 0.705
Pb 0.681 0.221 0.295
Pb 0.759 0.759 0.517
Pb 0.779 0.319 0.705

ΔH_f (0 K) (meV/atom): -2
Total DFT energy (no corrections) (eV per atom): -3.146
SG: C2/m
E above lowest polymorph (eV/atom): 0.022
Size of the total moment (μB per formula unit): 0.000

Density functional theory data (GGA-PBE) for a geometry-optimized Na4Tl2Pb3 structure.

Unit cell a=5.685 b=5.685 c=9.983 alpha=95.79 beta=95.79 gamma=55.32
Sites, in units of the cell vectors:
Na 0.005 0.005 0.172
Na 0.325 0.325 0.620
Na 0.675 0.675 0.380
Na 0.995 0.995 0.828
Tl 0.347 0.347 0.300
Tl 0.653 0.653 0.700
Pb 0.000 0.000 0.500
Pb 0.334 0.334 0.968
Pb 0.666 0.666 0.032

ΔH_f (0 K) (meV/atom): -127
Total DFT energy (no corrections) (eV per atom): -2.475
SG: C2/m
Size of the total moment (μB per formula unit): 0.000

Density functional theory data (GGA-PBE) for a geometry-optimized Na7Tl2Pb structure.

Unit cell a=5.505 b=5.505 c=12.151 alpha=90.00 beta=90.00 gamma=120.00
Sites, in units of the cell vectors:
Na 0.000 0.000 0.000
Na 0.000 0.000 0.244
Na 0.000 0.000 0.502
Na 0.333 0.667 0.045
Na 0.333 0.667 0.660
Na 0.667 0.333 0.421
Na 0.667 0.333 0.844
Tl 0.000 0.000 0.751
Tl 0.333 0.667 0.321
Pb 0.667 0.333 0.148

ΔH_f (0 K) (meV/atom): -42
Total DFT energy (no corrections) (eV per atom): -1.810
SG: P3m1
E above lowest polymorph (eV/atom): 0.000
Size of the total moment (μB per formula unit): 0.000

Density functional theory data (GGA-PBE) for a geometry-optimized Na12Tl2Pb5 structure.

Unit cell a=11.202 b=11.202 c=5.930 alpha=96.71 beta=96.71 gamma=53.39
Sites, in units of the cell vectors:
Na 0.082 0.082 0.391
Na 0.097 0.448 0.770
Na 0.178 0.602 0.366
Na 0.398 0.822 0.634
Na 0.417 0.417 0.942
Na 0.448 0.097 0.770
Na 0.552 0.903 0.230
Na 0.583 0.583 0.058
Na 0.602 0.178 0.366
Na 0.822 0.398 0.634
Na 0.903 0.552 0.230
Na 0.918 0.918 0.609
Tl 0.204 0.796 0.000
Tl 0.796 0.204 0.000
Pb 0.130 0.130 0.921
Pb 0.266 0.266 0.267
Pb 0.500 0.500 0.500
Pb 0.734 0.734 0.733
Pb 0.870 0.870 0.079

ΔH_f (0 K) (meV/atom): -68
Total DFT energy (no corrections) (eV per atom): -2.126
SG: C2/m
E above lowest polymorph (eV/atom): 0.021
Size of the total moment (μB per formula unit): 0.000

Density functional theory data (GGA-PBE) for a geometry-optimized Na8Tl3Pb structure.

Unit cell a=6.706 b=6.706 c=11.085 alpha=117.13 beta=117.13 gamma=59.50
Sites, in units of the cell vectors:
Na 0.090 0.591 0.181
Na 0.157 0.157 0.317
Na 0.340 0.340 0.682
Na 0.409 0.910 0.819
Na 0.591 0.090 0.181
Na 0.660 0.660 0.318
Na 0.843 0.843 0.683
Na 0.910 0.409 0.819
Tl 0.250 0.750 0.000
Tl 0.500 0.500 0.500
Tl 0.750 0.250 0.000
Pb 0.000 0.000 0.500

ΔH_f (0 K) (meV/atom): -68
Total DFT energy (no corrections) (eV per atom): -1.848
SG: C2/m
Size of the total moment (μB per formula unit): 0.000

Density functional theory data (GGA-PBE) for a geometry-optimized NaTl6Pb5 structure.

Unit cell a=6.078 b=6.078 c=11.717 alpha=95.44 beta=95.44 gamma=120.44
Sites, in units of the cell vectors:
Na 0.000 0.000 0.000
Tl 0.082 0.417 0.249
Tl 0.251 0.251 0.752
Tl 0.417 0.082 0.249
Tl 0.583 0.918 0.751
Tl 0.749 0.749 0.248
Tl 0.918 0.583 0.751
Pb 0.168 0.832 0.500
Pb 0.333 0.667 0.000
Pb 0.500 0.500 0.500
Pb 0.667 0.333 0.000
Pb 0.832 0.168 0.500

ΔH_f (0 K) (meV/atom): -30
Total DFT energy (no corrections) (eV per atom): -2.868
SG: C2/m
Size of the total moment (μB per formula unit): 0.000

Density functional theory data (GGA-PBE) for a geometry-optimized NaTl4Pb structure.

Unit cell a=4.752 b=6.064 c=7.033 alpha=107.35 beta=90.54 gamma=111.56
Sites, in units of the cell vectors:
Na 0.000 0.000 0.000
Tl 0.004 0.006 0.499
Tl 0.327 0.658 0.165
Tl 0.336 0.676 0.675
Tl 0.665 0.331 0.330
Pb 0.671 0.337 0.827

ΔH_f (0 K) (meV/atom): -51
Total DFT energy (no corrections) (eV per atom): -2.466
SG: P1
E above lowest polymorph (eV/atom): 0.000
Size of the total moment (μB per formula unit): 0.000

Density functional theory data (GGA-PBE) for a geometry-optimized NaTl6Pb12 structure.

Unit cell a=8.413 b=8.413 c=8.413 alpha=89.56 beta=89.56 gamma=89.56
Sites, in units of the cell vectors:
Na 0.000 0.000 0.000
Tl 0.115 0.733 0.265
Tl 0.265 0.115 0.733
Tl 0.267 0.735 0.885
Tl 0.733 0.265 0.115
Tl 0.735 0.885 0.267
Tl 0.885 0.267 0.735
Pb 0.036 0.160 0.373
Pb 0.160 0.373 0.036
Pb 0.205 0.476 0.550
Pb 0.373 0.036 0.160
Pb 0.450 0.795 0.524
Pb 0.476 0.550 0.205
Pb 0.524 0.450 0.795
Pb 0.550 0.205 0.476
Pb 0.627 0.964 0.840
Pb 0.795 0.524 0.450
Pb 0.840 0.627 0.964
Pb 0.964 0.840 0.627

ΔH_f (0 K) (meV/atom): 35
Total DFT energy (no corrections) (eV per atom): -3.124
SG: R-3
Size of the total moment (μB per formula unit): 0.000

Density functional theory data (GGA-PBE) for a geometry-optimized NaTl3Pb6 structure.

Unit cell a=9.273 b=5.642 c=12.286 alpha=90.00 beta=106.53 gamma=90.00
Sites, in units of the cell vectors:
Na 0.097 0.250 0.067
Na 0.903 0.750 0.933
Tl 0.102 0.750 0.736
Tl 0.287 0.250 0.866
Tl 0.309 0.750 0.537
Tl 0.691 0.250 0.463
Tl 0.713 0.750 0.134
Tl 0.898 0.250 0.264
Pb 0.092 0.250 0.561
Pb 0.111 0.750 0.237
Pb 0.294 0.250 0.362
Pb 0.304 0.750 0.040
Pb 0.493 0.250 0.157
Pb 0.500 0.250 0.673
Pb 0.500 0.750 0.327
Pb 0.507 0.750 0.843
Pb 0.696 0.250 0.960
Pb 0.706 0.750 0.638
Pb 0.889 0.250 0.763
Pb 0.908 0.750 0.439

ΔH_f (0 K) (meV/atom): -16
Total DFT energy (no corrections) (eV per atom): -3.083
SG: P2_1/m
Size of the total moment (μB per formula unit): 0.000

Density functional theory data (GGA-PBE) for a geometry-optimized Na3Tl5Pb structure.

Unit cell a=9.367 b=9.367 c=9.367 alpha=122.65 beta=122.65 gamma=85.47
Sites, in units of the cell vectors:
Na 0.109 0.609 0.719
Na 0.250 0.250 0.000
Na 0.391 0.109 0.500
Na 0.609 0.891 0.500
Na 0.750 0.750 0.000
Na 0.891 0.391 0.281
Tl 0.000 0.000 0.000
Tl 0.075 0.154 0.500
Tl 0.154 0.654 0.079
Tl 0.346 0.425 0.500
Tl 0.425 0.925 0.079
Tl 0.500 0.500 0.000
Tl 0.575 0.075 0.921
Tl 0.654 0.575 0.500
Tl 0.846 0.346 0.921
Tl 0.925 0.846 0.500
Pb 0.250 0.750 0.500
Pb 0.750 0.250 0.500

ΔH_f (0 K) (meV/atom): 7
Total DFT energy (no corrections) (eV per atom): -2.159
SG: I4/mcm
Size of the total moment (μB per formula unit): 0.000

Density functional theory data (GGA-PBE) for a geometry-optimized Na11Tl9Pb4 structure.

Unit cell a=14.467 b=14.467 c=3.714 alpha=90.00 beta=90.00 gamma=112.88
Sites, in units of the cell vectors:
Na 0.000 0.000 0.000
Na 0.040 0.402 0.000
Na 0.159 0.841 0.000
Na 0.289 0.289 0.000
Na 0.368 0.632 0.000
Na 0.402 0.040 0.000
Na 0.598 0.960 0.000
Na 0.632 0.368 0.000
Na 0.711 0.711 0.000
Na 0.841 0.159 0.000
Na 0.960 0.598 0.000
Tl 0.071 0.212 0.500
Tl 0.166 0.632 0.500
Tl 0.212 0.071 0.500
Tl 0.368 0.834 0.500
Tl 0.500 0.500 0.500
Tl 0.632 0.166 0.500
Tl 0.788 0.929 0.500
Tl 0.834 0.368 0.500
Tl 0.929 0.788 0.500
Pb 0.239 0.445 0.500
Pb 0.445 0.239 0.500
Pb 0.555 0.761 0.500
Pb 0.761 0.555 0.500

ΔH_f (0 K) (meV/atom): -92
Total DFT energy (no corrections) (eV per atom): -2.202
SG: Cmmm
Size of the total moment (μB per formula unit): 0.000